An optimized crystal structure of TlBAs2. Source: Alexandria via LeMat-Bulk, functional GGA-PBE.

## Properties
formation energy from the elements	1.2380	eV/atom
offset from the most stable computed form	1019	meV/atom

Unit cell a=6.7912 b=6.7912 c=6.7912 alpha=90.00 beta=90.00 gamma=90.00
Last column: nearest neighbours and their distance in Å.
Space group Fm-3m (No. 225)
Symmetry-distinct sites (fractional):
1 Tl 0.0000 0.0000 0.0000  8 As 2.94
2 B 0.0000 0.0000 0.5000  8 As 2.94
3 As 0.2500 0.2500 0.2500  4 Tl 2.94, 4 B 2.94

---

An optimized crystal structure of TbTm2ThSe4. Source: Alexandria via LeMat-Bulk, functional GGA-PBE.

## Properties
ΔE_f (raw)	-13.2	eV per formula unit

Unit cell a=7.0300 b=4.0233 c=7.2071 alpha=90.00 beta=108.75 gamma=90.00
Last column: nearest neighbours and their distance in Å.
Space group P2/m (No. 10)
Symmetry-distinct sites (fractional):
1 Tb 0.0000 0.0000 0.0000  6 Se 2.93
2 Tm 0.0000 0.5000 0.5000  6 Se 2.81-2.82
3 Tm 0.5000 0.0000 0.5000  6 Se 2.85-2.86
4 Th 0.5000 0.5000 0.0000  6 Se 2.97
5 Se 0.2393 0.0000 0.7335  3 Tm 2.81-2.86, 1 Tb 2.93, 2 Th 2.97
6 Se 0.2492 0.5000 0.2624  3 Tm 2.82-2.85, 2 Tb 2.93, 1 Th 2.97

---

An optimized crystal structure of LaAg2Ir. Source: Alexandria via LeMat-Bulk, functional GGA-PBE.

## Properties
formation energy from the elements	-0.0825	eV/atom
offset from the most stable computed form	178	meV/atom

Unit cell a=4.0806 b=4.0806 c=21.3422 alpha=90.00 beta=90.00 gamma=90.00
Last column: nearest neighbours and their distance in Å.
Space group I-42d (No. 122)
Symmetry-distinct sites (fractional):
1 La 0.0000 0.0000 0.0000  4 Ir 2.89, 4 Ag 3.08
2 Ag 0.2182 0.2500 0.6250  2 Ag 2.71, 2 Ir 2.99
3 Ir 0.0000 0.0000 0.5000  4 La 2.89, 4 Ag 2.99

---

An optimized crystal structure of CePdPtAu. Source: Alexandria via LeMat-Bulk, functional GGA-PBE.

## Properties
formation energy from the elements	-0.6896	eV/atom

Unit cell a=6.7861 b=6.7861 c=6.7861 alpha=90.00 beta=90.00 gamma=90.00
Last column: nearest neighbours and their distance in Å.
Space group F-43m (No. 216)
Symmetry-distinct sites (fractional):
1 Ce 0.0000 0.0000 0.0000  4 Pt 2.94, 4 Pd 2.94
2 Pd 0.2500 0.2500 0.2500  4 Ce 2.94, 4 Au 2.94
3 Pt 0.2500 0.2500 0.7500  4 Ce 2.94, 4 Au 2.94
4 Au 0.0000 0.0000 0.5000  4 Pd 2.94, 4 Pt 2.94

---

An optimized crystal structure of ScTlCd2. Source: Alexandria via LeMat-Bulk, functional GGA-PBE.

## Properties
formation energy from the elements	-0.0861	eV/atom
offset from the most stable computed form	95	meV/atom

Unit cell a=3.6167 b=4.0763 c=6.4886 alpha=90.00 beta=90.00 gamma=90.00
Last column: nearest neighbours and their distance in Å.
Space group Pmmm (No. 47)
Symmetry-distinct sites (fractional):
1 Sc 0.0000 0.0000 0.0000  8 Cd 3.12, 2 Tl 3.24
2 Tl 0.0000 0.0000 0.5000  8 Cd 3.22, 2 Sc 3.24
3 Cd 0.5000 0.5000 0.2348  1 Cd 3.05, 4 Sc 3.12, 4 Tl 3.22

---

An optimized crystal structure of DyEr3Os. Source: Alexandria via LeMat-Bulk, functional GGA-PBE.

## Properties
formation energy from the elements	0.0069	eV/atom
offset from the most stable computed form	143	meV/atom

Unit cell a=17.2133 b=3.5644 c=9.4762 alpha=90.00 beta=105.85 gamma=90.00
Last column: nearest neighbours and their distance in Å.
Space group C2/m (No. 12)
Symmetry-distinct sites (fractional):
1 Dy 0.1925 0.0000 0.3071  2 Os 2.86
2 Er 0.0011 0.5000 0.1760  2 Os 2.81-2.82
3 Er 0.0987 0.5000 0.5409  7 Er 3.27-3.56, 3 Dy 3.49-3.56
4 Er 0.1851 0.0000 0.8710  3 Os 2.84-2.95
5 Os 0.1372 0.5000 0.0650  5 Er 2.81-2.95, 2 Dy 2.86

---

An optimized crystal structure of MgTi3. Source: Alexandria via LeMat-Bulk, functional GGA-PBE.

## Properties
formation energy from the elements	0.1384	eV/atom

Unit cell a=2.8420 b=4.8256 c=5.3300 alpha=90.00 beta=90.00 gamma=90.00
Last column: nearest neighbours and their distance in Å.
Space group Pmm2 (No. 25)
Symmetry-distinct sites (fractional):
1 Mg 0.0000 0.0000 0.0000  2 Mg 2.84, 10 Ti 2.98-3.05
2 Ti 0.0000 0.5000 0.6717  8 Ti 2.79-2.94, 2 Mg 2.98
3 Ti 0.5000 0.0000 0.5061  8 Ti 2.84-2.94, 4 Mg 2.99-3.05
4 Ti 0.5000 0.5000 0.2219  6 Ti 2.79-2.85, 4 Mg 3.04

---

An optimized crystal structure of Nb3FeMo2. Source: Alexandria via LeMat-Bulk, functional GGA-PBE.

## Properties
formation energy from the elements	-0.0823	eV/atom

Unit cell a=4.5233 b=13.5914 c=6.3456 alpha=90.00 beta=90.00 gamma=90.00
Last column: nearest neighbours and their distance in Å.
Space group Cmmm (No. 65)
Symmetry-distinct sites (fractional):
1 Nb 0.0000 0.0000 0.2480  6 Mo 2.76-2.78, 2 Fe 2.76
2 Nb 0.0000 0.3318 0.2455  3 Fe 2.73-2.75, 5 Mo 2.76-2.80
3 Fe 0.0000 0.1666 0.0000  8 Nb 2.73-2.76
4 Mo 0.0000 0.1673 0.5000  8 Nb 2.76-2.78
5 Mo 0.0000 0.5000 0.0000  8 Nb 2.76-2.77
6 Mo 0.0000 0.5000 0.5000  8 Nb 2.77-2.80

---

In order of appearance, theoretical density = 7.741, 8.987, 10.221, 13.573, 8.231, 10.148, 3.814, 8.963 g/cm3.